The following is a PBE calculation of crystalline Na2UAlO6 at its relaxed geometry, from Alexandria.

Properties
ρ: 5.36 Mg/m³
Size of the total moment: 1.06 μB per formula unit
Space-group type: Fm-3m
E_form (uncorrected): -237.4 kJ/mol of atoms

a = 5.630 Å, b = 5.630 Å, c = 5.630 Å
α = 60.00°, β = 59.99°, γ = 90.00°
Fractional positions:
Na 0.250 0.750 0.500
Na 0.750 0.250 0.500
U 0.000 0.000 0.000
Al 0.500 0.500 0.000
O 0.261 0.739 0.000
O 0.739 0.739 0.000
O 0.261 0.261 0.479
O 0.739 0.261 0.000
O 0.261 0.261 0.000
O 0.739 0.739 0.521